Below is Co2CuN2 after structural relaxation, with properties calculated at the PBE level.

## Properties
DOS(E_F) in states/eV/f.u.: 2.3
V in Å³/atom: 9.200
Total energy in eV per atom: -6.027
Formation energy from raw total energies in eV per formula unit: 4.823

Cell: 6.044 6.044 2.518 Å, 90.00 90.00 90.00°
Space group P4/mbm (No. 127)
Asymmetric unit:
Co (0.134, 0.366, 0.000) x4
Cu (0.000, 0.000, 0.000) x2
N (0.137, 0.637, 0.500) x4

---

Below is BaCu3Sb3 after structural relaxation, with properties calculated at the PBE level.

## Properties
DOS(E_F) in states/eV/f.u.: 4.7
V in Å³/atom: 26.659
Total energy in eV per atom: -4.013
Formation energy from raw total energies in eV per formula unit: -1.516

Cell: 7.200 7.200 7.200 Å, 90.00 90.00 90.00°
Space group Pm-3n (No. 223)
Asymmetric unit:
Ba (0.000, 0.000, 0.000) x2
Cu (0.000, 0.250, 0.500) x6
Sb (0.000, 0.500, 0.250) x6

---

Below is KScCl3 after structural relaxation, with properties calculated at the PBE level.

## Properties
DOS(E_F) in states/eV/f.u.: 8.3
V in Å³/atom: 32.880
Total energy in eV per atom: -3.319
Formation energy from raw total energies in eV per formula unit: -3.627

Cell: 5.478 5.478 5.478 Å, 90.00 90.00 90.00°
Space group Pm-3m (No. 221)
Asymmetric unit:
K (0.000, 0.000, 0.000) x1
Sc (0.500, 0.500, 0.500) x1
Cl (0.000, 0.000, 0.500) x3

---

Below is DyPaN3 after structural relaxation, with properties calculated at the PBE level.

## Properties
DOS(E_F) in states/eV/f.u.: 4.3
V in Å³/atom: 16.055
Total energy in eV per atom: -8.950
Formation energy from raw total energies in eV per formula unit: -5.676

Cell: 7.874 11.237 3.629 Å, 90.00 90.00 90.00°
Space group Cmmm (No. 65)
Asymmetric unit:
Dy (0.000, 0.000, 0.000) x2
Dy (0.000, 0.500, 0.000) x2
Pa (0.250, 0.250, 0.500) x4
N (0.000, 0.148, 0.500) x4
N (0.210, 0.367, 0.000) x8

---

Below is PrNi3 after structural relaxation, with properties calculated at the PBE level.

## Properties
DOS(E_F) in states/eV/f.u.: 6.7
V in Å³/atom: 15.345
Total energy in eV per atom: -5.817
Formation energy from the elements in eV/atom: -0.29

Cell: 5.0604 5.0604 24.9087 Å, 90.00 90.00 120.00°
Space group R-3m (No. 166, hexagonal axes)
Asymmetric unit:
Pr (0.0000, 0.0000, 0.0000) x3
Pr (0.0000, 0.0000, 0.1386) x6
Ni (0.0000, 0.0000, 0.3326) x6
Ni (0.0000, 0.0000, 0.5000) x3
Ni (0.0014, 0.5007, 0.0805) x18

---

Below is SiO after structural relaxation, with properties calculated at the PBE level.

## Properties
DOS(E_F) in states/eV/f.u.: 0.2
V in Å³/atom: 15.529
Total energy in eV per atom: -6.876
Formation energy from raw total energies in eV per formula unit: -3.370

Cell: 2.813 10.901 4.051 Å, 90.00 90.00 90.00°
Space group Cmcm (No. 63)
Asymmetric unit:
Si (0.000, 0.060, 0.250) x4
O (0.000, 0.356, 0.750) x4

---

Below is CaMg3F after structural relaxation, with properties calculated at the PBE level.

## Properties
DOS(E_F) in states/eV/f.u.: 3.3
V in Å³/atom: 52.304
Total energy in eV per atom: -1.300
Formation energy from raw total energies in eV per formula unit: 2.157

Cell: 6.395 6.395 6.395 Å, 90.00 90.00 90.00°
Space group Pm-3m (No. 221)
Asymmetric unit:
Ca (0.000, 0.000, 0.000) x1
Mg (0.000, 0.000, 0.500) x3
F (0.500, 0.500, 0.500) x1

---

Below is TmSc2RuO8 after structural relaxation, with properties calculated at the PBE level.

## Properties
DOS(E_F) in states/eV/f.u.: 3.0
V in Å³/atom: 12.638
Total energy in eV per atom: -7.908
Formation energy from raw total energies in eV per formula unit: -28.818

Cell: 4.850 6.440 4.856 Å, 90.00 90.25 90.00°
Space group P2/m (No. 10)
Asymmetric unit:
Tm (0.000, 0.000, 0.000) x1
Sc (0.500, 0.243, 0.500) x2
Ru (0.000, 0.500, 0.000) x1
O (0.193, 0.284, 0.808) x4
O (0.278, 0.500, 0.280) x2
O (0.313, 0.000, 0.314) x2

---

Below is Li2CoCu after structural relaxation, with properties calculated at the PBE level.

## Properties
DOS(E_F) in states/eV/f.u.: 2.6
V in Å³/atom: 13.171
Total energy in eV per atom: -3.335
Formation energy from the elements in eV/atom: 0.42

Cell: 6.572 6.572 4.878 Å, 90.00 90.00 90.00°
Space group I-42d (No. 122)
Asymmetric unit:
Li (0.246, 0.750, 0.125) x8
Co (0.000, 0.000, 0.500) x4
Cu (0.000, 0.000, 0.000) x4

---

Below is LiAsH after structural relaxation, with properties calculated at the PBE level.

## Properties
DOS(E_F) in states/eV/f.u.: 0.8
V in Å³/atom: 14.284
Total energy in eV per atom: -3.509

Cell: 4.425 6.721 5.764 Å, 90.00 90.57 90.00°
Space group P2_1/c (No. 14)
Asymmetric unit:
Li (0.157, 0.157, 0.149) x4
As (0.347, 0.732, 0.615) x4
H (0.239, 0.549, 0.108) x4

---

Below is CaPPb2 after structural relaxation, with properties calculated at the PBE level.

## Properties
DOS(E_F) in states/eV/f.u.: 2.9
V in Å³/atom: 29.869
Total energy in eV per atom: -4.004
Formation energy from the elements in eV/atom: -0.30

Cell: 4.0016 4.0016 25.8463 Å, 90.00 90.00 120.00°
Space group R3m (No. 160, hexagonal axes)
Asymmetric unit:
Ca (0.0000, 0.0000, 0.0000) x3
P (0.0000, 0.0000, 0.2703) x3
Pb (0.0000, 0.0000, 0.5417) x3
Pb (0.0000, 0.0000, 0.7713) x3

---

Below is Sn2TeAs after structural relaxation, with properties calculated at the PBE level.

## Properties
DOS(E_F) in states/eV/f.u.: 2.0
V in Å³/atom: 28.765
Total energy in eV per atom: -4.057
Formation energy from raw total energies in eV per formula unit: -0.433

Cell: 4.1619 4.1619 23.0108 Å, 90.00 90.00 120.00°
Space group R3m (No. 160, hexagonal axes)
Asymmetric unit:
Sn (0.0000, 0.0000, 0.0000) x3
Sn (0.0000, 0.0000, 0.1882) x3
Te (0.0000, 0.0000, 0.7738) x3
As (0.0000, 0.0000, 0.6011) x3